CeSmSe2S: relaxed, PBE.

## Properties
Formation energy (no corrections) ... -1.921 eV/atom
Fermi-level density of states ... 13.352 states/eV/cell

The structure in CIF format:
```
data_CeSmSe2S
_chemical_formula_sum 'Ce2 Sm2 Se4 S2'
_symmetry_space_group_name_H-M 'P 1'
_symmetry_Int_Tables_number 1
_cell_length_a 7.028
_cell_length_b 7.028
_cell_length_c 9.705
_cell_angle_alpha 90.00
_cell_angle_beta 90.00
_cell_angle_gamma 146.15
loop_
_symmetry_equiv_pos_as_xyz
'x,y,z'
loop_
_atom_site_label
_atom_site_fract_x
_atom_site_fract_y
_atom_site_fract_z
_atom_site_occupancy
Ce1 0.239 0.761 0.750 1
Ce2 0.761 0.239 0.250 1
Sm1 0.500 0.500 0.000 1
Sm2 0.500 0.500 0.500 1
Se1 0.147 0.853 0.067 1
Se2 0.147 0.853 0.433 1
Se3 0.853 0.147 0.567 1
Se4 0.853 0.147 0.933 1
S1 0.404 0.596 0.250 1
S2 0.596 0.404 0.750 1
```

---

BeHgH3: relaxed, PBE.

## Properties
Energy relative to the lowest polymorph listed for this composition ... 0.0 meV/atom
Fermi-level density of states ... 0.733 states/eV/cell

The structure in CIF format:
```
data_BeHgH3
_chemical_formula_sum 'Be1 Hg1 H3'
_symmetry_space_group_name_H-M 'P 1'
_symmetry_Int_Tables_number 1
_cell_length_a 3.566
_cell_length_b 3.566
_cell_length_c 3.566
_cell_angle_alpha 90.00
_cell_angle_beta 90.00
_cell_angle_gamma 90.00
loop_
_symmetry_equiv_pos_as_xyz
'x,y,z'
loop_
_atom_site_label
_atom_site_fract_x
_atom_site_fract_y
_atom_site_fract_z
_atom_site_occupancy
Be1 0.000 0.000 0.000 1
Hg1 0.500 0.500 0.500 1
H1 0.000 0.000 0.500 1
H2 0.000 0.500 0.000 1
H3 0.500 0.000 0.000 1
```

---

PrPaCo2: relaxed, PBE.

## Properties
Energy relative to the lowest polymorph listed for this composition ... 0.0 meV/atom
Fermi-level density of states ... 4.644 states/eV/cell
E_form ... -0.302 eV per atom

The structure in CIF format:
```
data_PrPaCo2
_chemical_formula_sum 'Pr2 Pa2 Co4'
_symmetry_space_group_name_H-M 'P 1'
_symmetry_Int_Tables_number 1
_cell_length_a 5.357
_cell_length_b 4.298
_cell_length_c 7.317
_cell_angle_alpha 90.00
_cell_angle_beta 108.59
_cell_angle_gamma 90.00
loop_
_symmetry_equiv_pos_as_xyz
'x,y,z'
loop_
_atom_site_label
_atom_site_fract_x
_atom_site_fract_y
_atom_site_fract_z
_atom_site_occupancy
Pr1 0.237 0.250 0.432 1
Pr2 0.763 0.750 0.568 1
Pa1 0.217 0.250 0.929 1
Pa2 0.783 0.750 0.071 1
Co1 0.305 0.750 0.143 1
Co2 0.335 0.750 0.775 1
Co3 0.665 0.250 0.225 1
Co4 0.695 0.250 0.857 1
```

---

Cr3Os: relaxed, PBE.

## Properties
Fermi-level density of states ... 5.070 states/eV/cell
E_form ... 0.108 eV per atom

The structure in CIF format:
```
data_Cr3Os
_chemical_formula_sum 'Cr3 Os1'
_symmetry_space_group_name_H-M 'P 1'
_symmetry_Int_Tables_number 1
_cell_length_a 2.591
_cell_length_b 4.044
_cell_length_c 4.850
_cell_angle_alpha 90.00
_cell_angle_beta 101.22
_cell_angle_gamma 90.00
loop_
_symmetry_equiv_pos_as_xyz
'x,y,z'
loop_
_atom_site_label
_atom_site_fract_x
_atom_site_fract_y
_atom_site_fract_z
_atom_site_occupancy
Cr1 0.000 0.000 0.000 1
Cr2 0.212 0.500 0.759 1
Cr3 0.788 0.500 0.241 1
Os1 0.500 0.000 0.500 1
```

---

Tl2AgHgBr3: relaxed, PBE.

## Properties
Formation energy (no corrections) ... -0.506 eV/atom

The structure in CIF format:
```
data_Tl2AgHgBr3
_chemical_formula_sum 'Tl2 Ag1 Hg1 Br3'
_symmetry_space_group_name_H-M 'P 1'
_symmetry_Int_Tables_number 1
_cell_length_a 9.292
_cell_length_b 9.292
_cell_length_c 9.292
_cell_angle_alpha 146.18
_cell_angle_beta 145.58
_cell_angle_gamma 49.03
loop_
_symmetry_equiv_pos_as_xyz
'x,y,z'
loop_
_atom_site_label
_atom_site_fract_x
_atom_site_fract_y
_atom_site_fract_z
_atom_site_occupancy
Tl1 0.149 0.149 0.000 1
Tl2 0.851 0.851 0.000 1
Ag1 0.500 0.500 0.000 1
Hg1 0.000 0.500 0.500 1
Br1 0.328 0.328 0.000 1
Br2 0.500 0.000 0.500 1
Br3 0.672 0.672 0.000 1
```

---

LiW2Se: relaxed, PBE.

## Properties
Formation energy (no corrections) ... 0.476 eV/atom
Fermi-level density of states ... 3.412 states/eV/cell

The structure in CIF format:
```
data_LiW2Se
_chemical_formula_sum 'Li1 W2 Se1'
_symmetry_space_group_name_H-M 'P 1'
_symmetry_Int_Tables_number 1
_cell_length_a 4.435
_cell_length_b 4.435
_cell_length_c 4.435
_cell_angle_alpha 120.10
_cell_angle_beta 120.10
_cell_angle_gamma 89.82
loop_
_symmetry_equiv_pos_as_xyz
'x,y,z'
loop_
_atom_site_label
_atom_site_fract_x
_atom_site_fract_y
_atom_site_fract_z
_atom_site_occupancy
Li1 0.000 0.000 0.000 1
W1 0.500 0.500 0.000 1
W2 0.750 0.250 0.500 1
Se1 0.250 0.750 0.500 1
```

---

MnNbCr2In: relaxed, PBE.

## Properties
Fermi-level density of states ... 7.670 states/eV/cell
E_form ... 2.089 eV per atom

The structure in CIF format:
```
data_MnNbCr2In
_chemical_formula_sum 'Mn1 Nb1 Cr2 In1'
_symmetry_space_group_name_H-M 'P 1'
_symmetry_Int_Tables_number 1
_cell_length_a 4.680
_cell_length_b 4.680
_cell_length_c 4.609
_cell_angle_alpha 90.00
_cell_angle_beta 90.00
_cell_angle_gamma 90.00
loop_
_symmetry_equiv_pos_as_xyz
'x,y,z'
loop_
_atom_site_label
_atom_site_fract_x
_atom_site_fract_y
_atom_site_fract_z
_atom_site_occupancy
Mn1 0.000 0.000 0.000 1
Nb1 0.500 0.500 0.000 1
Cr1 0.000 0.500 0.500 1
Cr2 0.500 0.000 0.500 1
In1 0.000 0.000 0.500 1
```

---

K3InI6O18: relaxed, PBE.

## Properties
Formation energy (no corrections) ... -0.788 eV/atom
Energy relative to the lowest polymorph listed for this composition ... 2.5 meV/atom
Fermi-level density of states ... 0.000 states/eV/cell

The structure in CIF format:
```
data_K3InI6O18
_chemical_formula_sum 'K6 In2 I12 O36'
_symmetry_space_group_name_H-M 'P 1'
_symmetry_Int_Tables_number 1
_cell_length_a 21.034
_cell_length_b 7.080
_cell_length_c 20.678
_cell_angle_alpha 83.08
_cell_angle_beta 19.52
_cell_angle_gamma 77.40
loop_
_symmetry_equiv_pos_as_xyz
'x,y,z'
loop_
_atom_site_label
_atom_site_fract_x
_atom_site_fract_y
_atom_site_fract_z
_atom_site_occupancy
K1 0.000 0.000 0.000 1
K2 0.041 0.954 0.155 1
K3 0.095 0.400 0.209 1
K4 0.250 0.250 0.250 1
K5 0.400 0.095 0.296 1
K6 0.954 0.041 0.850 1
In1 0.500 0.500 0.500 1
In2 0.750 0.750 0.750 1
I1 0.009 0.507 0.895 1
I2 0.145 0.840 0.257 1
I3 0.355 0.661 0.241 1
I4 0.493 0.993 0.410 1
I5 0.503 0.504 0.681 1
I6 0.504 0.503 0.312 1
I7 0.507 0.009 0.589 1
I8 0.569 0.938 0.747 1
I9 0.661 0.355 0.743 1
I10 0.840 0.145 0.757 1
I11 0.938 0.569 0.746 1
I12 0.993 0.493 0.105 1
O1 0.039 0.107 0.368 1
O2 0.048 0.720 0.424 1
O3 0.107 0.039 0.486 1
O4 0.117 0.236 0.790 1
O5 0.118 0.606 0.720 1
O6 0.175 0.553 0.801 1
O7 0.201 0.564 0.496 1
O8 0.236 0.117 0.857 1
O9 0.247 0.531 0.952 1
O10 0.298 0.981 0.003 1
O11 0.393 0.460 0.014 1
O12 0.396 0.891 0.436 1
O13 0.425 0.578 0.668 1
O14 0.441 0.826 0.530 1
O15 0.449 0.778 0.075 1
O16 0.460 0.393 0.133 1
O17 0.511 0.754 0.686 1
O18 0.530 0.693 0.132 1
O19 0.531 0.247 0.269 1
O20 0.553 0.175 0.472 1
O21 0.564 0.201 0.739 1
O22 0.578 0.425 0.329 1
O23 0.582 0.921 0.825 1
O24 0.606 0.118 0.557 1
O25 0.693 0.530 0.644 1
O26 0.720 0.048 0.809 1
O27 0.754 0.511 0.049 1
O28 0.764 0.882 0.143 1
O29 0.778 0.449 0.697 1
O30 0.814 0.974 0.854 1
O31 0.826 0.441 0.202 1
O32 0.882 0.764 0.211 1
O33 0.891 0.396 0.276 1
O34 0.921 0.582 0.672 1
O35 0.974 0.814 0.359 1
O36 0.981 0.298 0.719 1
```

---

The evaluated E_tot for the records listed, in turn: -6.2705; -2.2016; -7.4239; -9.9166; -2.3497; -7.3498; -6.1564; -4.5226 eV per atom.